Density functional theory data (GGA-PBEsol) for a relaxed CrCdSnIr2 crystal.

Results
- M_tot (μB per atom) = 0.7881
- calculated volume (Å³/cell) = 117
- formation energy (meV per atom) = 2052
- space group = P4/mmm

Geometry as extended XYZ:
```
5
Lattice="-2.033 -1.626 -4.109 -4.007 -1.229 2.469 -1.897 4.496 -0.841" Properties=species:S:1:pos:R:3 pbc="T T T"
Cr -3.968 0.821 -1.241
Ir -2.003 -0.614 1.234
Ir -1.016 -0.813 -2.054
Sn -0.948 2.248 -0.420
Cd 0.000 0.000 0.000
```